#A
Entry from the Alexandria database: a geometry-optimized Bi6PdRh structure (GGA-PBE).

abc: 6.832 6.838 6.782
angles: 59.68 59.64 59.89
Fractional positions:
Bi (0.041, 0.450, 0.743)
Bi (0.766, 0.042, 0.744)
Bi (0.551, 0.234, 0.258)
Bi (0.234, 0.958, 0.256)
Bi (0.959, 0.550, 0.257)
Bi (0.449, 0.766, 0.742)
Pd (0.500, 0.500, 0.500)
Rh (0.000, 0.000, 0.000)

=====

#B
Entry from the Alexandria database: a geometry-optimized Bi6PdRh structure (GGA-PBE).

abc: 8.559 8.559 8.527
angles: 109.41 109.45 109.70
Fractional positions:
Bi (0.157, 0.668, 0.825)
Bi (0.843, 0.332, 0.175)
Bi (0.841, 0.655, 0.496)
Bi (0.159, 0.345, 0.504)
Bi (0.820, 0.161, 0.664)
Bi (0.180, 0.839, 0.336)
Bi (0.503, 0.844, 0.664)
Bi (0.497, 0.156, 0.336)
Bi (0.658, 0.820, 0.155)
Bi (0.342, 0.180, 0.845)
Bi (0.665, 0.504, 0.845)
Bi (0.335, 0.496, 0.155)
Pd (0.000, 0.000, 0.500)
Pd (0.500, 0.500, 0.500)
Rh (0.000, 0.500, 0.000)
Rh (0.500, 0.000, 0.000)

=====

It is #B that is most stable; the runner-up trails by 62 meV/atom.

=====

#A
Entry from the Alexandria database: a geometry-optimized Bi4PdRh2 structure (GGA-PBE).

abc: 7.142 7.142 8.128
angles: 107.29 107.29 108.83
Fractional positions:
Bi (0.803, 0.307, 0.841)
Bi (0.307, 0.803, 0.341)
Bi (0.283, 0.793, 0.845)
Bi (0.793, 0.283, 0.345)
Bi (0.185, 0.198, 0.654)
Bi (0.717, 0.712, 0.160)
Bi (0.712, 0.717, 0.660)
Bi (0.198, 0.185, 0.154)
Pd (0.258, 0.507, 0.498)
Pd (0.507, 0.258, 0.998)
Rh (0.502, 0.255, 0.509)
Rh (0.745, 0.997, 0.993)
Rh (0.997, 0.745, 0.493)
Rh (0.255, 0.502, 0.009)

=====

#B
Entry from the Alexandria database: a geometry-optimized Bi4PdRh2 structure (GGA-PBE).

abc: 7.628 7.629 7.629
angles: 115.74 109.32 103.58
Fractional positions:
Bi (0.895, 0.183, 0.288)
Bi (0.312, 0.524, 0.212)
Bi (0.895, 0.607, 0.712)
Bi (0.801, 0.113, 0.689)
Bi (0.424, 0.113, 0.311)
Bi (0.312, 0.100, 0.788)
Bi (0.500, 0.704, 0.795)
Bi (0.909, 0.704, 0.205)
Pd (0.130, 0.630, 0.500)
Pd (0.067, 0.067, 0.000)
Rh (0.592, 0.376, 0.785)
Rh (0.592, 0.807, 0.215)
Rh (0.644, 0.411, 0.233)
Rh (0.178, 0.411, 0.767)

=====

It is #A that is most stable; the runner-up trails by 40 meV/atom.

=====

#A
Entry from the Alexandria database: a geometry-optimized Bi4Pd2Rh structure (GGA-PBE).

abc: 4.184 7.083 7.170
angles: 120.90 106.96 90.00
Fractional positions:
Bi (0.888, 0.233, 0.777)
Bi (0.112, 0.767, 0.223)
Bi (0.626, 0.288, 0.251)
Bi (0.374, 0.712, 0.749)
Pd (0.745, 0.764, 0.491)
Pd (0.255, 0.236, 0.509)
Rh (0.000, 0.000, 0.000)

=====

#B
Entry from the Alexandria database: a geometry-optimized Bi4Pd2Rh structure (GGA-PBE).

abc: 5.267 5.267 7.800
angles: 70.27 70.27 90.00
Fractional positions:
Rh (0.000, 0.000, 0.000)
Bi (0.205, 0.205, 0.589)
Bi (0.795, 0.795, 0.411)
Bi (0.000, 0.500, 0.000)
Bi (0.500, 0.000, 0.000)
Pd (0.398, 0.398, 0.203)
Pd (0.602, 0.602, 0.797)

=====

It is #A that is most stable; the runner-up trails by 370 meV/atom.

=====

#A
Entry from the Alexandria database: a geometry-optimized BiTePd2Rh structure (GGA-PBE).

abc: 5.037 4.807 5.037
angles: 90.00 90.00 90.00
Fractional positions:
Te (0.000, 0.500, 0.000)
Rh (0.000, 0.000, 0.000)
Bi (0.500, 0.500, 0.500)
Pd (0.000, 0.000, 0.500)
Pd (0.500, 0.000, 0.000)

=====

#B
Entry from the Alexandria database: a geometry-optimized BiTePd2Rh structure (GGA-PBE).

abc: 5.046 5.022 5.046
angles: 90.00 90.00 90.00
Fractional positions:
Te (0.500, 0.500, 0.500)
Rh (0.000, 0.500, 0.000)
Bi (0.000, 0.000, 0.000)
Pd (0.000, 0.000, 0.500)
Pd (0.500, 0.000, 0.000)

=====

It is #A that is most stable; the runner-up trails by 223 meV/atom.

=====

#A
Entry from the Alexandria database: a geometry-optimized Bi3PdS structure (GGA-PBE).

abc: 5.318 5.318 5.318
angles: 90.00 90.00 90.00
Fractional positions:
S (0.000, 0.000, 0.000)
Bi (0.000, 0.500, 0.000)
Bi (0.000, 0.000, 0.500)
Bi (0.500, 0.000, 0.000)
Pd (0.500, 0.500, 0.500)

=====

#B
Entry from the Alexandria database: a geometry-optimized Bi3PdS structure (GGA-PBE).

abc: 5.362 5.362 5.362
angles: 90.00 90.00 90.00
Fractional positions:
S (0.500, 0.500, 0.500)
Bi (0.000, 0.500, 0.000)
Bi (0.000, 0.000, 0.500)
Bi (0.500, 0.000, 0.000)
Pd (0.000, 0.000, 0.000)

=====

It is #B that is most stable; the runner-up trails by 84 meV/atom.

=====

#A
Entry from the Alexandria database: a geometry-optimized BiPdS3 structure (GGA-PBE).

abc: 4.717 4.717 4.717
angles: 90.00 90.00 90.00
Fractional positions:
S (0.000, 0.500, 0.000)
S (0.000, 0.000, 0.500)
S (0.500, 0.000, 0.000)
Bi (0.500, 0.500, 0.500)
Pd (0.000, 0.000, 0.000)

=====

#B
Entry from the Alexandria database: a geometry-optimized BiPdS3 structure (GGA-PBE).

abc: 3.816 8.810 12.724
angles: 90.00 90.00 90.00
Fractional positions:
Bi (0.250, 0.991, 0.337)
Bi (0.750, 0.009, 0.663)
Bi (0.750, 0.509, 0.837)
Bi (0.250, 0.491, 0.163)
Pd (0.250, 0.663, 0.546)
Pd (0.750, 0.337, 0.454)
Pd (0.750, 0.837, 0.046)
Pd (0.250, 0.163, 0.954)
S (0.750, 0.199, 0.290)
S (0.250, 0.668, 0.987)
S (0.250, 0.993, 0.103)
S (0.250, 0.493, 0.397)
S (0.250, 0.168, 0.513)
S (0.750, 0.507, 0.603)
S (0.250, 0.301, 0.790)
S (0.750, 0.007, 0.897)
S (0.750, 0.332, 0.013)
S (0.750, 0.699, 0.210)
S (0.750, 0.832, 0.487)
S (0.250, 0.801, 0.710)

=====

It is #B that is most stable; the runner-up trails by 410 meV/atom.